<P>
# PtRhS4 | Alexandria via LeMat-Bulk | PBE | optimized geometry
data_PtRhS4
_chemical_formula_sum 'Pt2 Rh2 S8'
_cell_length_a 6.6531
_cell_length_b 5.5850
_cell_length_c 5.6402
_cell_angle_alpha 90.00
_cell_angle_beta 94.87
_cell_angle_gamma 90.00
_symmetry_space_group_name_H-M 'P 1 21/c 1'
_symmetry_Int_Tables_number 14
_symmetry_space_group_name_Hall '-P 2ybc'
loop_
_atom_site_label
_atom_site_type_symbol
_atom_site_fract_x
_atom_site_fract_y
_atom_site_fract_z
_atom_site_occupancy
Pt1 Pt 0.0000 0.0000 0.0000 1
Rh1 Rh 0.5000 0.0000 0.5000 1
S1 S 0.1046 0.1042 0.3993 1
S2 S 0.4172 0.6106 0.3789 1
# **Magnetization**: 0.00 μB per atom
# **Volume**: 209 Å³/cell

---

<Q>
# PtRhS4 | Alexandria via LeMat-Bulk | PBE | optimized geometry
data_PtRhS4
_chemical_formula_sum 'Pt2 Rh2 S8'
_cell_length_a 11.5376
_cell_length_b 3.5634
_cell_length_c 6.2075
_cell_angle_alpha 90.00
_cell_angle_beta 122.37
_cell_angle_gamma 90.00
_symmetry_space_group_name_H-M 'C 1 2/m 1'
_symmetry_Int_Tables_number 12
_symmetry_space_group_name_Hall '-C 2y'
loop_
_atom_site_label
_atom_site_type_symbol
_atom_site_fract_x
_atom_site_fract_y
_atom_site_fract_z
_atom_site_occupancy
Pt1 Pt 0.0000 0.0000 0.0000 1
Rh1 Rh 0.0000 0.5000 0.5000 1
S1 S 0.1242 0.0000 0.4585 1
S2 S 0.1239 0.5000 0.9532 1
# **Magnetization**: 0.00 μB per atom
# **Volume**: 216 Å³/cell

---

Verdict on stability: <Q> comes out on top.

---

<P>
# PtRhS3 | Alexandria via LeMat-Bulk | PBE | optimized geometry
data_PtRhS3
_chemical_formula_sum 'Pt1 Rh1 S3'
_cell_length_a 4.5802
_cell_length_b 4.5802
_cell_length_c 4.5802
_cell_angle_alpha 90.00
_cell_angle_beta 90.00
_cell_angle_gamma 90.00
_symmetry_space_group_name_H-M 'P m -3 m'
_symmetry_Int_Tables_number 221
_symmetry_space_group_name_Hall '-P 4 2 3'
loop_
_atom_site_label
_atom_site_type_symbol
_atom_site_fract_x
_atom_site_fract_y
_atom_site_fract_z
_atom_site_occupancy
Pt1 Pt 0.0000 0.0000 0.0000 1
Rh1 Rh 0.5000 0.5000 0.5000 1
S1 S 0.0000 0.5000 0.5000 1
# **Magnetization**: 0.33 μB per atom
# **Volume**: 96 Å³/cell

---

<Q>
# PtRhS3 | Alexandria via LeMat-Bulk | PBE | optimized geometry
data_PtRhS3
_chemical_formula_sum 'Pt4 Rh4 S12'
_cell_length_a 15.8715
_cell_length_b 3.4670
_cell_length_c 6.7143
_cell_angle_alpha 90.00
_cell_angle_beta 99.60
_cell_angle_gamma 90.00
_symmetry_space_group_name_H-M 'C 1 2/m 1'
_symmetry_Int_Tables_number 12
_symmetry_space_group_name_Hall '-C 2y'
loop_
_atom_site_label
_atom_site_type_symbol
_atom_site_fract_x
_atom_site_fract_y
_atom_site_fract_z
_atom_site_occupancy
Pt1 Pt 0.0662 0.0000 0.3341 1
Rh1 Rh 0.1616 0.5000 0.8559 1
S1 S 0.0144 0.5000 0.8325 1
S2 S 0.1525 0.5000 0.4988 1
S3 S 0.1864 0.0000 0.0883 1
# **Magnetization**: 0.00 μB per atom
# **Volume**: 364 Å³/cell

---

Verdict on stability: <Q> comes out on top.

---

<P>
# Sb2PtRh | Alexandria via LeMat-Bulk | PBE | optimized geometry
data_Sb2PtRh
_chemical_formula_sum 'Sb4 Pt2 Rh2'
_cell_length_a 3.9498
_cell_length_b 3.6858
_cell_length_c 10.6994
_cell_angle_alpha 90.00
_cell_angle_beta 90.00
_cell_angle_gamma 90.00
_symmetry_space_group_name_H-M 'A m m 2'
_symmetry_Int_Tables_number 38
_symmetry_space_group_name_Hall 'A 2 -2'
loop_
_atom_site_label
_atom_site_type_symbol
_atom_site_fract_x
_atom_site_fract_y
_atom_site_fract_z
_atom_site_occupancy
Sb1 Sb 0.0000 0.0000 0.0000 1
Sb2 Sb 0.5000 0.0000 0.2944 1
Pt1 Pt 0.0000 0.0000 0.7403 1
Rh1 Rh 0.5000 0.0000 0.5481 1
# **Magnetization**: 0.00 μB per atom
# **Volume**: 156 Å³/cell

---

<Q>
# Sb2PtRh | Alexandria via LeMat-Bulk | PBE | optimized geometry
data_Sb2PtRh
_chemical_formula_sum 'Sb2 Pt1 Rh1'
_cell_length_a 3.6983
_cell_length_b 4.9853
_cell_length_c 4.9147
_cell_angle_alpha 90.00
_cell_angle_beta 110.21
_cell_angle_gamma 90.00
_symmetry_space_group_name_H-M 'P 1 m 1'
_symmetry_Int_Tables_number 6
_symmetry_space_group_name_Hall 'P -2y'
loop_
_atom_site_label
_atom_site_type_symbol
_atom_site_fract_x
_atom_site_fract_y
_atom_site_fract_z
_atom_site_occupancy
Sb1 Sb 0.0000 0.0000 0.0000 1
Sb2 Sb 0.4669 0.5000 0.5426 1
Pt1 Pt 0.7728 0.5000 0.1288 1
Rh1 Rh 0.6815 0.0000 0.4085 1
# **Magnetization**: 0.00 μB per atom
# **Volume**: 85 Å³/cell

---

Verdict on stability: <P> comes out on top.

---

<P>
# Sb2PtRh | Alexandria via LeMat-Bulk | PBE | optimized geometry
data_Sb2PtRh
_chemical_formula_sum 'Sb6 Pt3 Rh3'
_cell_length_a 3.8800
_cell_length_b 3.8800
_cell_length_c 19.0270
_cell_angle_alpha 90.00
_cell_angle_beta 90.00
_cell_angle_gamma 120.00
_symmetry_space_group_name_H-M 'R -3 m'
_symmetry_Int_Tables_number 166
_symmetry_space_group_name_Hall '-R 3 2"'
loop_
_atom_site_label
_atom_site_type_symbol
_atom_site_fract_x
_atom_site_fract_y
_atom_site_fract_z
_atom_site_occupancy
Sb1 Sb 0.0000 0.0000 0.2481 1
Pt1 Pt 0.0000 0.0000 0.0000 1
Rh1 Rh 0.0000 0.0000 0.5000 1
# **Magnetization**: 0.00 μB per atom
# **Volume**: 248 Å³/cell

---

<Q>
# Sb2PtRh | Alexandria via LeMat-Bulk | PBE | optimized geometry
data_Sb2PtRh
_chemical_formula_sum 'Sb6 Pt3 Rh3'
_cell_length_a 4.0749
_cell_length_b 4.0749
_cell_length_c 19.2656
_cell_angle_alpha 90.00
_cell_angle_beta 90.00
_cell_angle_gamma 120.00
_symmetry_space_group_name_H-M 'R 3 m'
_symmetry_Int_Tables_number 160
_symmetry_space_group_name_Hall 'R 3 -2"'
loop_
_atom_site_label
_atom_site_type_symbol
_atom_site_fract_x
_atom_site_fract_y
_atom_site_fract_z
_atom_site_occupancy
Sb1 Sb 0.0000 0.0000 0.0000 1
Sb2 Sb 0.0000 0.0000 0.1876 1
Pt1 Pt 0.0000 0.0000 0.4603 1
Rh1 Rh 0.0000 0.0000 0.7221 1
# **Magnetization**: 0.00 μB per atom
# **Volume**: 277 Å³/cell

---

<R>
# Sb2PtRh | Alexandria via LeMat-Bulk | PBE | optimized geometry
data_Sb2PtRh
_chemical_formula_sum 'Sb2 Pt1 Rh1'
_cell_length_a 3.3754
_cell_length_b 3.3754
_cell_length_c 6.7116
_cell_angle_alpha 90.00
_cell_angle_beta 90.00
_cell_angle_gamma 90.00
_symmetry_space_group_name_H-M 'P 4/m m m'
_symmetry_Int_Tables_number 123
_symmetry_space_group_name_Hall '-P 4 2'
loop_
_atom_site_label
_atom_site_type_symbol
_atom_site_fract_x
_atom_site_fract_y
_atom_site_fract_z
_atom_site_occupancy
Sb1 Sb 0.0000 0.0000 0.2433 1
Pt1 Pt 0.5000 0.5000 0.5000 1
Rh1 Rh 0.5000 0.5000 0.0000 1
# **Magnetization**: 0.00 μB per atom
# **Volume**: 76 Å³/cell

---

<S>
# Sb2PtRh | Alexandria via LeMat-Bulk | PBE | optimized geometry
data_Sb2PtRh
_chemical_formula_sum 'Sb4 Pt2 Rh2'
_cell_length_a 4.0349
_cell_length_b 4.0349
_cell_length_c 9.3871
_cell_angle_alpha 90.00
_cell_angle_beta 90.00
_cell_angle_gamma 90.00
_symmetry_space_group_name_H-M 'I -4 m 2'
_symmetry_Int_Tables_number 119
_symmetry_space_group_name_Hall 'I -4 -2'
loop_
_atom_site_label
_atom_site_type_symbol
_atom_site_fract_x
_atom_site_fract_y
_atom_site_fract_z
_atom_site_occupancy
Sb1 Sb 0.0000 0.0000 0.0000 1
Sb2 Sb 0.0000 0.5000 0.2500 1
Pt1 Pt 0.0000 0.5000 0.7500 1
Rh1 Rh 0.0000 0.0000 0.5000 1
# **Magnetization**: 0.00 μB per atom
# **Volume**: 153 Å³/cell

---

Verdict on stability: <P> comes out on top.

---

<P>
# Sb2PtRh | Alexandria via LeMat-Bulk | PBE | optimized geometry
data_Sb2PtRh
_chemical_formula_sum 'Sb8 Pt4 Rh4'
_cell_length_a 6.7903
_cell_length_b 6.7903
_cell_length_c 6.7903
_cell_angle_alpha 90.00
_cell_angle_beta 90.00
_cell_angle_gamma 90.00
_symmetry_space_group_name_H-M 'F -4 3 m'
_symmetry_Int_Tables_number 216
_symmetry_space_group_name_Hall 'F -4 2 3'
loop_
_atom_site_label
_atom_site_type_symbol
_atom_site_fract_x
_atom_site_fract_y
_atom_site_fract_z
_atom_site_occupancy
Sb1 Sb 0.0000 0.0000 0.0000 1
Sb2 Sb 0.2500 0.2500 0.2500 1
Pt1 Pt 0.0000 0.0000 0.5000 1
Rh1 Rh 0.2500 0.2500 0.7500 1
# **Magnetization**: 0.00 μB per atom
# **Volume**: 313 Å³/cell

---

<Q>
# Sb2PtRh | Alexandria via LeMat-Bulk | PBE | optimized geometry
data_Sb2PtRh
_chemical_formula_sum 'Sb8 Pt4 Rh4'
_cell_length_a 6.7399
_cell_length_b 6.7399
_cell_length_c 6.7399
_cell_angle_alpha 90.00
_cell_angle_beta 90.00
_cell_angle_gamma 90.00
_symmetry_space_group_name_H-M 'F m -3 m'
_symmetry_Int_Tables_number 225
_symmetry_space_group_name_Hall '-F 4 2 3'
loop_
_atom_site_label
_atom_site_type_symbol
_atom_site_fract_x
_atom_site_fract_y
_atom_site_fract_z
_atom_site_occupancy
Sb1 Sb 0.2500 0.2500 0.2500 1
Pt1 Pt 0.0000 0.0000 0.0000 1
Rh1 Rh 0.0000 0.0000 0.5000 1
# **Magnetization**: 0.00 μB per atom
# **Volume**: 306 Å³/cell

---

<R>
# Sb2PtRh | Alexandria via LeMat-Bulk | PBE | optimized geometry
data_Sb2PtRh
_chemical_formula_sum 'Sb2 Pt1 Rh1'
_cell_length_a 3.8857
_cell_length_b 3.8857
_cell_length_c 5.4736
_cell_angle_alpha 90.00
_cell_angle_beta 90.00
_cell_angle_gamma 90.00
_symmetry_space_group_name_H-M 'P 4/m m m'
_symmetry_Int_Tables_number 123
_symmetry_space_group_name_Hall '-P 4 2'
loop_
_atom_site_label
_atom_site_type_symbol
_atom_site_fract_x
_atom_site_fract_y
_atom_site_fract_z
_atom_site_occupancy
Sb1 Sb 0.0000 0.0000 0.0000 1
Sb2 Sb 0.5000 0.5000 0.5000 1
Pt1 Pt 0.0000 0.0000 0.5000 1
Rh1 Rh 0.5000 0.5000 0.0000 1
# **Magnetization**: 0.00 μB per atom
# **Volume**: 83 Å³/cell

---

Verdict on stability: <R> comes out on top.